1.
Here is Er2Ga5Co3 after structural relaxation from OQMD. Energies are from PBE.

Output
- spin magnetization (μB per formula unit) = 0.00
- space-group type = Ibam, No. 72
- crystal system = orthorhombic
- uncorrected energy (eV per atom) = -5.06

```
Er2Ga5Co3
1.0
-4.761 6.205 2.733
4.761 -6.205 2.733
4.761 6.205 -2.733
Co Er Ga
6 4 10
direct
0.250 0.250 0.000 Co
0.750 0.750 0.000 Co
0.349 0.917 0.266 Co
0.849 0.583 0.432 Co
0.151 0.417 0.568 Co
0.651 0.083 0.734 Co
0.853 0.278 0.131 Er
0.647 0.778 0.424 Er
0.353 0.222 0.576 Er
0.147 0.722 0.869 Er
0.418 0.683 0.102 Ga
0.452 0.250 0.202 Ga
0.952 0.750 0.202 Ga
0.082 0.183 0.265 Ga
0.750 0.250 0.500 Ga
0.250 0.750 0.500 Ga
0.918 0.817 0.735 Ga
0.048 0.250 0.798 Ga
0.548 0.750 0.798 Ga
0.582 0.317 0.898 Ga
```

---

2.
Here is TcHgGe after structural relaxation from OQMD. Energies are from PBE.

Output
- spin magnetization (μB per formula unit) = 0.08
- space-group type = F-43m, No. 216
- crystal system = cubic
- relative energy among the computed polymorphs (meV per atom) = 0.0

```
TcHgGe
1.0
0.000 3.104 3.104
3.104 0.000 3.104
3.104 3.104 0.000
Ge Hg Tc
1 1 1
direct
0.250 0.250 0.250 Ge
0.750 0.750 0.750 Hg
0.000 0.000 0.000 Tc
```

---

3.
Here is AgS6F2 after structural relaxation from OQMD. Energies are from PBE.

Output
- space-group type = P-1, No. 2
- crystal system = triclinic
- uncorrected energy (eV per atom) = -3.77

```
AgS6F2
1.0
-3.469 -1.813 0.051
1.904 -4.623 4.474
-2.086 2.608 5.951
Ag F S
1 2 6
direct
0.000 0.000 0.000 Ag
0.569 0.108 0.173 F
0.431 0.892 0.827 F
0.952 0.443 0.240 S
0.155 0.707 0.286 S
0.164 0.229 0.467 S
0.836 0.771 0.533 S
0.845 0.293 0.714 S
0.048 0.557 0.760 S
```

---

4.
Here is ThBPt after structural relaxation from OQMD. Energies are from PBE.

Output
- spin magnetization (μB per formula unit) = 0.01
- space-group type = F-43m, No. 216
- crystal system = cubic
- relative energy among the computed polymorphs (meV per atom) = 382.6

```
ThBPt
1.0
0.000 3.193 3.193
3.193 0.000 3.193
3.193 3.193 0.000
B Pt Th
1 1 1
direct
0.250 0.250 0.250 B
0.000 0.000 0.000 Pt
0.750 0.750 0.750 Th
```

---

5.
Here is Dy2Lu2In after structural relaxation from OQMD. Energies are from PBE.

Output
- spin magnetization (μB per formula unit) = 0.02
- space-group type = P4/mbm, No. 127
- crystal system = tetragonal
- uncorrected energy (eV per atom) = -4.19

```
Dy2Lu2In
1.0
-6.830 -0.359 -4.166
-0.398 -7.886 1.333
-2.402 0.776 3.871
Dy In Lu
4 2 4
direct
0.347 0.153 0.500 Dy
0.847 0.347 0.500 Dy
0.153 0.653 0.500 Dy
0.653 0.847 0.500 Dy
0.000 0.000 0.000 In
0.500 0.500 0.000 In
0.647 0.147 0.000 Lu
0.147 0.353 0.000 Lu
0.853 0.647 0.000 Lu
0.353 0.853 0.000 Lu
```

---

6.
Here is TaCoAgAs after structural relaxation from OQMD. Energies are from PBE.

Output
- spin magnetization (μB per formula unit) = 0.00
- space-group type = F-43m, No. 216
- crystal system = cubic
- relative energy among the computed polymorphs (meV per atom) = 159.9

```
TaCoAgAs
1.0
0.000 3.168 3.168
3.168 0.000 3.168
3.168 3.168 0.000
Ag As Co Ta
1 1 1 1
direct
0.250 0.250 0.250 Ag
0.000 0.000 0.000 As
0.750 0.750 0.750 Co
0.500 0.500 0.500 Ta
```

---

7.
Here is Ta2B2Os after structural relaxation from OQMD. Energies are from PBE.

Output
- spin magnetization (μB per formula unit) = 0.00
- space-group type = P4/mnc, No. 128
- crystal system = tetragonal
- uncorrected energy (eV per atom) = -10.31

```
Ta2B2Os
1.0
5.901 0.000 0.000
0.000 5.901 0.000
0.000 0.000 6.898
B Os Ta
8 4 8
direct
0.614 0.114 0.250 B
0.114 0.386 0.250 B
0.886 0.614 0.250 B
0.386 0.886 0.250 B
0.614 0.114 0.750 B
0.114 0.386 0.750 B
0.886 0.614 0.750 B
0.386 0.886 0.750 B
0.500 0.500 0.222 Os
0.000 0.000 0.278 Os
0.000 0.000 0.722 Os
0.500 0.500 0.778 Os
0.314 0.164 0.000 Ta
0.836 0.314 0.000 Ta
0.164 0.686 0.000 Ta
0.686 0.836 0.000 Ta
0.336 0.186 0.500 Ta
0.814 0.336 0.500 Ta
0.186 0.664 0.500 Ta
0.664 0.814 0.500 Ta
```

---

8.
Here is UGe12Pt4 after structural relaxation from OQMD. Energies are from PBE.

Output
- spin magnetization (μB per formula unit) = 0.18
- space-group type = Im-3, No. 204
- crystal system = cubic
- uncorrected energy (eV per atom) = -5.62

```
UGe12Pt4
1.0
-3.775 -3.894 5.174
-4.842 3.215 -4.733
4.516 -4.620 -3.801
Ge Pt U
12 4 1
direct
0.500 0.351 0.149 Ge
0.798 0.649 0.149 Ge
0.351 0.851 0.202 Ge
0.851 0.202 0.351 Ge
0.149 0.500 0.351 Ge
0.351 0.149 0.500 Ge
0.649 0.851 0.500 Ge
0.851 0.500 0.649 Ge
0.149 0.798 0.649 Ge
0.649 0.149 0.798 Ge
0.202 0.351 0.851 Ge
0.500 0.649 0.851 Ge
0.500 0.000 0.000 Pt
0.000 0.500 0.000 Pt
0.000 0.000 0.500 Pt
0.500 0.500 0.500 Pt
0.000 0.000 0.000 U
```

---

9.
Here is Nd2Te after structural relaxation from OQMD. Energies are from PBE.

Output
- spin magnetization (μB per formula unit) = 0.01
- space-group type = Fd-3m, No. 227
- crystal system = cubic
- uncorrected energy (eV per atom) = -4.48

```
Nd2Te
1.0
0.000 4.561 4.561
4.561 0.000 4.561
4.561 4.561 0.000
Nd Te
4 2
direct
0.625 0.625 0.125 Nd
0.625 0.125 0.625 Nd
0.125 0.625 0.625 Nd
0.625 0.625 0.625 Nd
0.000 0.000 0.000 Te
0.250 0.250 0.250 Te
```

---

10.
Here is La2Cd4CoPt after structural relaxation from OQMD. Energies are from PBE.

Output
- spin magnetization (μB per formula unit) = 0.02
- E_form (meV per atom) = -442
- space-group type = Amm2, No. 38
- crystal system = orthorhombic

```
La2Cd4CoPt
1.0
8.458 0.000 0.000
0.000 2.165 4.959
0.000 -2.165 4.959
Cd Co La Pt
4 1 2 1
direct
0.286 0.148 0.148 Cd
0.714 0.148 0.148 Cd
0.194 0.851 0.851 Cd
0.806 0.851 0.851 Cd
0.000 0.301 0.301 Co
0.500 0.434 0.434 La
0.000 0.548 0.548 La
0.500 0.720 0.720 Pt
```

---

11.
Here is LaMgSi2Ni after structural relaxation from OQMD. Energies are from PBE.

Output
- spin magnetization (μB per formula unit) = 0.00
- space-group type = I-4m2, No. 119
- crystal system = tetragonal
- uncorrected energy (eV per atom) = -5.17

```
LaMgSi2Ni
1.0
-3.063 -4.690 2.334
-5.618 -1.392 -1.825
5.453 1.278 -2.336
La Mg Ni Si
1 1 1 2
direct
0.000 0.000 0.000 La
0.250 0.750 0.500 Mg
0.750 0.250 0.500 Ni
0.387 0.387 0.000 Si
0.613 0.613 0.000 Si
```

---

12.
Here is KReNO after structural relaxation from OQMD. Energies are from PBE.

Output
- spin magnetization (μB per formula unit) = 0.10
- space-group type = P4/nmm, No. 129
- crystal system = tetragonal
- relative energy among the computed polymorphs (meV per atom) = 985.1

```
KReNO
1.0
3.615 0.000 0.000
0.000 3.615 0.000
0.000 0.000 10.344
K N O Re
2 2 2 2
direct
0.250 0.250 0.176 K
0.750 0.750 0.824 K
0.750 0.750 0.393 N
0.250 0.250 0.607 N
0.750 0.250 0.000 O
0.250 0.750 0.000 O
0.750 0.250 0.500 Re
0.250 0.750 0.500 Re
```

---

| no. | density (g/cm³) | volume (Å³ per atom) |
| --- | --- | --- |
| 1 | 8.8 | 16.2 |
| 2 | 10.3 | 19.9 |
| 3 | 3.2 | 19.2 |
| 4 | 11.2 | 21.7 |
| 5 | 8.8 | 29.6 |
| 6 | 11.0 | 15.9 |
| 7 | 15.9 | 12.0 |
| 8 | 9.7 | 19.1 |
| 9 | 7.3 | 31.6 |
| 10 | 9.0 | 22.7 |
| 11 | 5.0 | 18.4 |
| 12 | 6.3 | 16.9 |